An optimized crystal structure of NiB2BrO, computed with PBE+U.

Geometry as POSCAR:
```
NiB2BrO
1.0
4.155 0.000 0.000
0.000 4.646 0.000
0.000 0.000 4.155
Ni B O Br
1 2 1 1
direct
0.000 0.500 0.000
0.000 0.000 0.500
0.500 0.000 0.000
0.500 0.500 0.500
0.000 0.000 0.000
```

Results
The value obtained for the magnetic moment is 0.98 Bohr magnetons per cell. The density of states at the Fermi level is 0.34 states/eV/atom. For the electronic total energy, the calculation gives -10.38 eV per cell.